(1)
# Mn2ZnCd | Alexandria via LeMat-Bulk | PBE | optimized geometry
data_Mn2ZnCd
_cell_length_a 3.689
_cell_length_b 3.689
_cell_length_c 9.633
_cell_angle_alpha 78.96
_cell_angle_beta 78.96
_cell_angle_gamma 90.00
_symmetry_space_group_name_H-M 'P 1'
_symmetry_Int_Tables_number 1
_symmetry_space_group_name_Hall 'P 1'
loop_
_atom_site_label
_atom_site_fract_x
_atom_site_fract_y
_atom_site_fract_z
Cd1 0.750 0.250 0.500
Cd2 0.000 0.000 0.000
Mn1 0.214 0.625 0.250
Mn2 0.536 0.125 0.250
Mn3 0.375 0.464 0.750
Mn4 0.875 0.786 0.750
Zn1 0.500 0.500 0.000
Zn2 0.250 0.750 0.500
# **Calculated total energy**: -4.388 eV/atom
# **Space-group type**: No. 122
# **Total magnetization**: 2.02 μB/f.u.
# **Energy relative to the elements**: 744 meV per atom


(2)
# MnZn6Cd | Alexandria via LeMat-Bulk | PBE | optimized geometry
data_MnZn6Cd
_cell_length_a 4.353
_cell_length_b 4.903
_cell_length_c 5.839
_cell_angle_alpha 90.00
_cell_angle_beta 90.00
_cell_angle_gamma 90.00
_symmetry_space_group_name_H-M 'P 1'
_symmetry_Int_Tables_number 1
_symmetry_space_group_name_Hall 'P 1'
loop_
_atom_site_label
_atom_site_fract_x
_atom_site_fract_y
_atom_site_fract_z
Zn1 0.000 0.172 0.266
Zn2 0.500 0.845 0.725
Zn3 0.500 0.292 0.000
Zn4 0.500 0.845 0.275
Zn5 0.000 0.172 0.734
Zn6 0.000 0.665 0.500
Mn1 0.500 0.348 0.500
Cd1 0.000 0.663 0.000
# **Calculated total energy**: -2.164 eV/atom
# **Space-group type**: No. 25
# **Total magnetization**: 3.37 μB/f.u.
# **Energy relative to the elements**: 52 meV per atom


(3)
# Mn2ZnCd | Alexandria via LeMat-Bulk | PBE | optimized geometry
data_Mn2ZnCd
_cell_length_a 4.779
_cell_length_b 4.779
_cell_length_c 2.870
_cell_angle_alpha 90.00
_cell_angle_beta 90.00
_cell_angle_gamma 107.36
_symmetry_space_group_name_H-M 'P 1'
_symmetry_Int_Tables_number 1
_symmetry_space_group_name_Hall 'P 1'
loop_
_atom_site_label
_atom_site_fract_x
_atom_site_fract_y
_atom_site_fract_z
Zn1 0.500 0.000 0.500
Cd1 0.000 0.500 0.500
Mn1 0.500 0.500 0.000
Mn2 0.000 0.000 0.000
# **Calculated total energy**: -4.891 eV/atom
# **Space-group type**: No. 65
# **Total magnetization**: 6.52 μB/f.u.
# **Energy relative to the elements**: 241 meV per atom


(4)
# Mn2ZnCd | Alexandria via LeMat-Bulk | PBE | optimized geometry
data_Mn2ZnCd
_cell_length_a 3.865
_cell_length_b 4.017
_cell_length_c 4.017
_cell_angle_alpha 90.00
_cell_angle_beta 90.00
_cell_angle_gamma 90.00
_symmetry_space_group_name_H-M 'P 1'
_symmetry_Int_Tables_number 1
_symmetry_space_group_name_Hall 'P 1'
loop_
_atom_site_label
_atom_site_fract_x
_atom_site_fract_y
_atom_site_fract_z
Cd1 0.500 0.000 0.500
Mn1 0.000 0.000 0.000
Mn2 0.000 0.500 0.500
Zn1 0.500 0.500 0.000
# **Calculated total energy**: -4.902 eV/atom
# **Space-group type**: No. 123
# **Total magnetization**: 6.56 μB/f.u.
# **Energy relative to the elements**: 230 meV per atom


(5)
# Mn2ZnCd | Alexandria via LeMat-Bulk | PBE | optimized geometry
data_Mn2ZnCd
_cell_length_a 5.380
_cell_length_b 5.380
_cell_length_c 5.380
_cell_angle_alpha 147.80
_cell_angle_beta 129.28
_cell_angle_gamma 61.36
_symmetry_space_group_name_H-M 'P 1'
_symmetry_Int_Tables_number 1
_symmetry_space_group_name_Hall 'P 1'
loop_
_atom_site_label
_atom_site_fract_x
_atom_site_fract_y
_atom_site_fract_z
Mn1 0.989 0.989 0.000
Mn2 0.746 0.246 0.500
Zn1 0.509 0.509 0.000
Cd1 0.256 0.756 0.500
# **Calculated total energy**: -4.860 eV/atom
# **Space-group type**: No. 44
# **Total magnetization**: 6.79 μB/f.u.
# **Energy relative to the elements**: 272 meV per atom


(6)
# MnZnCd4 | Alexandria via LeMat-Bulk | PBE | optimized geometry
data_MnZnCd4
_cell_length_a 5.678
_cell_length_b 5.678
_cell_length_c 5.678
_cell_angle_alpha 60.00
_cell_angle_beta 60.00
_cell_angle_gamma 60.00
_symmetry_space_group_name_H-M 'P 1'
_symmetry_Int_Tables_number 1
_symmetry_space_group_name_Hall 'P 1'
loop_
_atom_site_label
_atom_site_fract_x
_atom_site_fract_y
_atom_site_fract_z
Mn1 0.750 0.750 0.750
Cd1 0.874 0.375 0.375
Cd2 0.375 0.375 0.375
Cd3 0.375 0.874 0.375
Cd4 0.375 0.375 0.874
Zn1 0.000 0.000 0.000
# **Calculated total energy**: -1.981 eV/atom
# **Space-group type**: No. 216
# **Total magnetization**: 4.20 μB/f.u.
# **Energy relative to the elements**: 369 meV per atom